[1]
Computed, not measured: crystalline BH2PbN at its relaxed geometry at the PBE-GGA level of DFT.

Lattice parameters (Å, degrees): 3.811 3.811 4.522 90.00 90.00 90.00
Fractional coordinates of all 5 atoms:
B  0.000  0.000  0.000
H  0.000  0.500  0.500
H  0.500  0.000  0.500
Pb  0.500  0.500  0.500
N  0.500  0.500  0.000

[2]
Computed, not measured: crystalline Sc2BHN at its relaxed geometry at the PBE-GGA level of DFT.

Lattice parameters (Å, degrees): 4.219 4.219 2.904 90.00 90.00 90.00
Fractional coordinates of all 5 atoms:
Sc  0.000  0.500  0.000
Sc  0.500  0.000  0.000
B  0.000  0.000  0.500
H  0.000  0.000  0.000
N  0.500  0.500  0.500

no.,total DFT energy (no corrections) (eV/atom)
1,-3.271
2,-6.292